Entry 1:
The following is a DFT calculation (PBE) of TbSm4Er5 after structural relaxation.

Computed properties:
Formation energy from the elements: 0.25 eV/atom
Space group: I4mm (107)
Distance to the lowest polymorph of the same formula: 0.058 eV/atom

a b c (Å): 5.8973 8.0665 8.0665
angles (deg): 82.32 68.56 68.56
Fractional positions:
Er1 0.7594 0.3780 0.9999
Er2 0.1374 0.9999 0.6220
Er3 0.1373 0.6220 0.0001
Er4 0.6869 0.0000 0.0000
Er5 0.7593 0.0001 0.3780
Sm1 0.7781 0.6765 0.6764
Sm2 0.1310 0.3235 0.3236
Sm3 0.4546 0.6764 0.3235
Sm4 0.4545 0.3236 0.6765
Tb1 0.2118 0.0000 0.0000

Entry 2:
The following is a DFT calculation (PBE) of AcGa4Ir3 after structural relaxation.

Computed properties:
Formation energy from the elements: -0.53 eV/atom
Space group: P4/mmm (123)

a b c (Å): 4.2909 4.2909 8.3791
angles (deg): 90.00 90.00 90.00
Fractional positions:
Ga1 0.0000 0.5000 0.8294
Ga2 0.5000 0.0000 0.1706
Ga3 0.5000 0.0000 0.8294
Ga4 0.0000 0.5000 0.1706
Ir1 0.5000 0.5000 0.3449
Ir2 0.5000 0.5000 0.6551
Ir3 0.0000 0.0000 0.0000
Ac1 0.0000 0.0000 0.5000

Entry 3:
The following is a DFT calculation (PBE) of MgAlRe2 after structural relaxation.

Computed properties:
Formation energy from the elements: 0.17 eV/atom
Space group: R-3m (166)
Distance to the lowest polymorph of the same formula: 0.243 eV/atom

a b c (Å): 9.1922 9.1922 9.1922
angles (deg): 17.59 17.59 17.59
Fractional positions:
Re1 0.9959 0.9959 0.9959
Re2 0.5041 0.5041 0.5041
Al1 0.2500 0.2500 0.2500
Mg1 0.7500 0.7500 0.7500

Entry 4:
The following is a DFT calculation (PBE) of SrSbW2 after structural relaxation.

Computed properties:
Space group: P4/mmm (123)
ΔE_f (raw): 0.8688 eV per atom

a b c (Å): 3.6293 3.6293 7.0219
angles (deg): 90.00 90.00 90.00
Fractional positions:
W1 0.0000 0.0000 0.4248
W2 0.0000 0.0000 0.0752
Sb1 0.5000 0.5000 0.2500
Sr1 0.5000 0.5000 0.7500

Entry 5:
The following is a DFT calculation (PBE) of Ti8AsS2 after structural relaxation.

Computed properties:
Space group: C2/m (12)
ΔE_f (raw): -0.6445 eV per atom

a b c (Å): 4.6374 6.4919 6.4919
angles (deg): 112.68 98.61 98.61
Fractional positions:
Ti1 0.0916 0.0811 0.3224
Ti2 0.6776 0.3866 0.3866
Ti3 0.3224 0.6134 0.6134
Ti4 0.9084 0.6776 0.9189
Ti5 0.5000 0.7583 0.2417
Ti6 0.5000 0.2417 0.7583
Ti7 0.0916 0.3224 0.0811
Ti8 0.9084 0.9189 0.6776
As1 0.5000 0.0000 0.0000
S1 0.0000 0.6875 0.3125
S2 0.0000 0.3125 0.6875

Entry 6:
The following is a DFT calculation (PBE) of Pr2CdPd9 after structural relaxation.

Computed properties:
Formation energy from the elements: -0.47 eV/atom
Space group: R-3m (166)
Distance to the lowest polymorph of the same formula: 0.096 eV/atom

a b c (Å): 5.4075 5.4075 9.5440
angles (deg): 73.54 73.54 60.00
Fractional positions:
Pd1 0.4145 0.4145 0.2524
Pd2 0.3331 0.3331 0.0007
Pd3 0.5000 0.5000 0.5000
Pd4 0.6669 0.6669 0.9993
Pd5 0.4145 0.9185 0.2524
Pd6 0.0815 0.5855 0.7476
Pd7 0.5855 0.5855 0.7476
Pd8 0.9185 0.4145 0.2524
Pd9 0.5855 0.0815 0.7476
Cd1 0.0000 0.0000 0.0000
Pr1 0.8653 0.8653 0.4042
Pr2 0.1347 0.1347 0.5958

Entry 7:
The following is a DFT calculation (PBE) of In3Pd8Pb2 after structural relaxation.

Computed properties:
Formation energy from the elements: -0.18 eV/atom
Space group: R-3m (166)

a b c (Å): 5.4627 5.4627 10.4564
angles (deg): 74.86 74.86 60.00
Fractional positions:
In1 0.1898 0.1898 0.4307
In2 0.0000 0.0000 0.0000
In3 0.8102 0.8102 0.5693
Pd1 0.2787 0.2787 0.6620
Pd2 0.7216 0.7216 0.8351
Pd3 0.7213 0.7213 0.3380
Pd4 0.2784 0.2784 0.1649
Pd5 0.7806 0.2787 0.6620
Pd6 0.2787 0.7806 0.6620
Pd7 0.2194 0.7213 0.3380
Pd8 0.7213 0.2194 0.3380
Pb1 0.6304 0.6304 0.1087
Pb2 0.3696 0.3696 0.8913

| no. | total magnetic moment (Bohr magnetons per cell) |
| --- | --- |
| 1 | 0.0 |
| 2 | 0.0 |
| 3 | 0.0 |
| 4 | 0.0 |
| 5 | 0.0 |
| 6 | 0.0 |
| 7 | 0.0 |